CsKTl4Sb2: optimized geometry, PBE.

Lattice parameters (Å, degrees): 4.9038 4.9038 13.5037 90.00 90.00 90.00
Closest atoms and distances in Å follow each position.
Element x y z (fractional)
Tl: 0.0000 0.5000 0.2388  2 Sb 3.17, 4 Tl 3.47
Tl: 0.5000 0.0000 0.2388  2 Sb 3.17, 4 Tl 3.47
Tl: 0.0000 0.5000 0.7612  2 Sb 3.17, 4 Tl 3.47
Tl: 0.5000 0.0000 0.7612  2 Sb 3.17, 4 Tl 3.47
Sb: 0.5000 0.5000 0.3879  1 Sb 3.03, 4 Tl 3.17
K: 0.0000 0.0000 0.5000  8 Sb 3.78
Sb: 0.5000 0.5000 0.6121  1 Sb 3.03, 4 Tl 3.17
Cs: 0.0000 0.0000 0.0000  8 Tl 4.05

Computed properties:
Formation energy (no corrections) in eV per atom: -0.20
DOS at the Fermi energy in states/eV/f.u.: 1.67
Crystal system: tetragonal
M_tot in μB per formula unit: 0.000